Material: Cs2CaCe2Se6
Method: DFT, PBE
State: optimized geometry

Its total moment is 0.00 μB/cell. For the raw formation energy, the calculation gives -1.651 eV/atom.

The structure belongs to space group C2/m (No. 12); the cell edges are 7.418, 12.918 and 8.828 Å and the angles 90.00°, 105.63° and 90.00°. The asymmetric unit holds Cs at (0.000, 0.162, 0.000), Ca at (0.000, 0.000, 0.500), Ce at (0.000, 0.334, 0.500), Se at (0.212, 0.500, 0.682) and Se at (0.231, 0.174, 0.681).